DFT (PBE) results for an optimized crystal structure of Cs2CdIrF6.

Lattice parameters (Å, degrees): 6.4099 6.4099 6.4055 59.98 59.98 90.00
With the nearest neighbours (Å) after each atom.
Fractional positions:
1 Cd 0.5000 0.5000 0.0000  6 F 2.42-2.43
2 F 0.2323 0.2323 0.0000  1 Ir 2.11
3 F 0.2326 0.2326 0.5349  1 Ir 2.11
4 F 0.2323 0.7677 0.0000  1 Ir 2.11
5 F 0.7677 0.2323 0.0000  1 Ir 2.11
6 Cs 0.2500 0.7500 0.5000  12 F 3.21
7 F 0.7674 0.7674 0.4651  1 Ir 2.11
8 Cs 0.7500 0.2500 0.5000  12 F 3.21
9 Ir 0.0000 0.0000 0.0000  6 F 2.11
10 F 0.7677 0.7677 0.0000  1 Ir 2.11

Properties
magnetic moment = 0.0 μB/cell
space-group type = I4/mmm (139)
D(E_F) = 0.352 states/eV/atom
ΔE_f (raw) = -19.48 eV per formula unit
crystal system = tetragonal